No. 1
MnAl3Sb | GGA-PBE | optimized geometry

Summary:
Its uncorrected formation energy is 183 kJ/mol of formula units. The crystal system is cubic. The calculation puts the mass density at 4134 kg/m³. As for the energy above the most stable polymorph in this dataset: 0 meV per atom.

CIF file:
```
data_MnAl3Sb
_cell_length_a 4.6950
_cell_length_b 4.6950
_cell_length_c 4.6950
_cell_angle_alpha 90.00
_cell_angle_beta 90.00
_cell_angle_gamma 90.00
_space_group_name_H-M_alt 'P 1'
_space_group_IT_number 1
_space_group_name_Hall 'P 1'
loop_
_atom_site_label
_atom_site_fract_x
_atom_site_fract_y
_atom_site_fract_z
Mn1 0.0000 0.0000 0.0000
Al1 0.0000 0.0000 0.5000
Al2 0.0000 0.5000 0.0000
Al3 0.5000 0.0000 0.0000
Sb1 0.5000 0.5000 0.5000
```

---

No. 2
RbN6F12 | GGA-PBE | optimized geometry

Summary:
Its uncorrected formation energy is -260 kJ/mol of formula units. The crystal system is trigonal. The calculation puts the mass density at 2473 kg/m³.

CIF file:
```
data_RbN6F12
_cell_length_a 7.9871
_cell_length_b 7.9871
_cell_length_c 7.9871
_cell_angle_alpha 115.67
_cell_angle_beta 115.67
_cell_angle_gamma 115.67
_space_group_name_H-M_alt 'P 1'
_space_group_IT_number 1
_space_group_name_Hall 'P 1'
loop_
_atom_site_label
_atom_site_fract_x
_atom_site_fract_y
_atom_site_fract_z
Rb1 0.0000 0.0000 0.0000
N1 0.3120 0.5436 0.6473
N2 0.3527 0.6880 0.4564
N3 0.4564 0.3527 0.6880
N4 0.5436 0.6473 0.3120
N5 0.6473 0.3120 0.5436
N6 0.6880 0.4564 0.3527
F1 0.0700 0.4512 0.1649
F2 0.0931 0.4317 0.6096
F3 0.1649 0.0700 0.4512
F4 0.3904 0.9069 0.5683
F5 0.4317 0.6096 0.0931
F6 0.4512 0.1649 0.0700
F7 0.5488 0.8351 0.9300
F8 0.5683 0.3904 0.9069
F9 0.6096 0.0931 0.4317
F10 0.8351 0.9300 0.5488
F11 0.9069 0.5683 0.3904
F12 0.9300 0.5488 0.8351
```

---

No. 3
Pu4Br5O | GGA-PBE | optimized geometry

Summary:
Its uncorrected formation energy is -1258 kJ/mol of formula units. The crystal system is monoclinic. The calculation puts the mass density at 7511 kg/m³.

CIF file:
```
data_Pu4Br5O
_cell_length_a 11.7262
_cell_length_b 11.7262
_cell_length_c 7.6965
_cell_angle_alpha 108.39
_cell_angle_beta 108.39
_cell_angle_gamma 17.86
_space_group_name_H-M_alt 'P 1'
_space_group_IT_number 1
_space_group_name_Hall 'P 1'
loop_
_atom_site_label
_atom_site_fract_x
_atom_site_fract_y
_atom_site_fract_z
Pu1 0.0628 0.0628 0.4617
Pu2 0.1043 0.1043 0.0049
Pu3 0.8957 0.8957 0.9951
Pu4 0.9372 0.9372 0.5383
Br1 0.1761 0.1761 0.7740
Br2 0.3472 0.3472 0.6745
Br3 0.5000 0.5000 0.0000
Br4 0.6528 0.6528 0.3255
Br5 0.8239 0.8239 0.2260
O1 0.5000 0.5000 0.5000
```